## Ho3Er3Tm (PBE)

Data for a relaxed Ho3Er3Tm crystal.

For the energy above the most stable polymorph in this dataset, the calculation gives 0 meV/atom. For the electronic total energy, the calculation gives -4.553 eV per atom. For the total magnetization, the calculation gives 0.010 μB per formula unit. The crystal system is hexagonal. The volume is 30.84 A^3/atom. For the density of states at the Fermi level, the calculation gives 28.34 states/eV per cell. For the formation energy, the calculation gives 0.079 kcal/mol of atoms.

It has space group P6_3/m (No. 176), with a = 9.4651 Å, b = 9.4651 Å, c = 5.5653 Å, α = 90.00°, β = 90.00° and γ = 120.00°. Symmetry generates all atoms from Ho at (0.0476, 0.8087, 0.2500), Er at (0.0951, 0.6189, 0.7500) and Tm at (0.3333, 0.6667, 0.2500).